# 1
# NiW2Se

A geometry-optimized NiW2Se structure (PBE, Alexandria).

Geometry as POSCAR:
```
NiW2Se
1.0
2.977 0.000 0.000
0.000 2.977 0.000
0.000 0.000 6.579
Ni W Se
1 2 1
Direct
0.000 0.000 0.000 Ni
0.500 0.500 0.243 W
0.500 0.500 0.757 W
0.000 0.000 0.500 Se
```

Energy relative to the elements, uncorrected in eV/f.u.: 1.4

---

# 2
# Ce3NiC3

A geometry-optimized Ce3NiC3 structure (PBE, Alexandria).

Geometry as POSCAR:
```
Ce3NiC3
1.0
7.375 0.000 0.000
-3.687 6.387 0.000
0.000 0.000 5.069
Ce Ni C
6 2 6
Direct
0.074 0.364 0.250 Ce
0.290 0.926 0.250 Ce
0.364 0.290 0.750 Ce
0.636 0.710 0.250 Ce
0.710 0.074 0.750 Ce
0.926 0.636 0.750 Ce
0.333 0.667 0.750 Ni
0.667 0.333 0.250 Ni
0.078 0.396 0.750 C
0.318 0.922 0.750 C
0.396 0.318 0.250 C
0.604 0.682 0.750 C
0.682 0.078 0.250 C
0.922 0.604 0.250 C
```

Energy relative to the elements in eV per atom: -0.1587